[1]
This record from Alexandria describes a relaxed HgSb2W crystal. The functional is GGA-PBE.

Structure (POSCAR):
```
HgSb2W
1.0
3.115 -3.910 0.000
3.115 3.910 0.000
-0.012 0.000 3.555
Hg Sb W
1 2 1
direct
0.000 0.000 0.000
0.000 0.500 0.500
0.500 0.000 0.500
0.500 0.500 0.000
```

## Properties
Its crystal system is monoclinic. The value obtained for the energy relative to the elements, uncorrected is 0.808 eV per atom. The density of states at the Fermi level comes out at 2.920 states/eV per cell. Its uncorrected energy is -18.269 eV per cell.

---

[2]
This record from Alexandria describes a relaxed Ba3Sr2HoO6 crystal. The functional is GGA-PBE.

Structure (POSCAR):
```
Ba3Sr2HoO6
1.0
3.221 -5.580 0.000
3.221 5.580 0.000
-2.134 0.000 6.243
Ba Sr Ho O
3 2 1 6
direct
0.000 0.000 0.000
0.331 0.669 0.000
0.669 0.331 0.000
0.167 0.833 0.500
0.833 0.167 0.500
0.500 0.500 0.500
0.127 0.429 0.290
0.269 0.269 0.717
0.429 0.127 0.290
0.571 0.873 0.710
0.731 0.731 0.283
0.873 0.571 0.710
```

## Properties
Its crystal system is monoclinic. The value obtained for the energy relative to the elements, uncorrected is -2.642 eV per atom. The density of states at the Fermi level comes out at 1.761 states/eV per cell. Its uncorrected energy is -75.159 eV per cell.

---

[3]
This record from Alexandria describes a relaxed Ce5Bi2AsN crystal. The functional is GGA-PBE.

Structure (POSCAR):
```
Ce5Bi2AsN
1.0
4.666 0.000 0.000
0.000 4.666 0.000
0.000 0.000 11.548
Ce Bi As N
5 2 1 1
direct
0.000 0.000 0.000
0.000 0.500 0.500
0.500 0.000 0.500
0.500 0.500 0.254
0.500 0.500 0.746
0.000 0.000 0.286
0.000 0.000 0.714
0.500 0.500 0.000
0.500 0.500 0.500
```

## Properties
Its crystal system is tetragonal. The value obtained for the energy relative to the elements, uncorrected is -0.932 eV per atom. The density of states at the Fermi level comes out at 29.002 states/eV per cell. Its uncorrected energy is -58.793 eV per cell.